AcSm4Tl2 GGA-PBE optimized geometry; formation energy = 144 kJ/mol of formula units; magnetic moment = 0.000 μB/atom; ρ = 8664 kg/m³; calculated volume = 474 Å³/cell; D(E_F) = 15.39 states/eV per cell; total energy = -0.1377 Ha/atom
1.0
6.193 0.000 0.000
0.000 6.193 0.000
0.000 0.000 12.365
Ac Sm Tl
2 8 4
Direct
0.000 0.000 0.000
0.500 0.500 0.500
0.000 0.500 0.000
0.000 0.500 0.250
0.000 0.500 0.500
0.000 0.500 0.750
0.500 0.000 0.000
0.500 0.000 0.250
0.500 0.000 0.500
0.500 0.000 0.750
0.000 0.000 0.365
0.000 0.000 0.635
0.500 0.500 0.135
0.500 0.500 0.865